Density functional theory data (GGA-PBE) for IBrO after structural relaxation.

Unit cell a=9.769 b=6.838 c=6.192 alpha=90.00 beta=104.58 gamma=90.00
Fractional positions:
I 0.500 0.894 0.500
I 0.500 0.394 0.000
I 0.000 0.441 0.000
I 0.000 0.941 0.500
O 0.975 0.601 0.218
O 0.025 0.601 0.782
O 0.975 0.101 0.718
O 0.025 0.101 0.282
Br 0.703 0.887 0.272
Br 0.297 0.887 0.728
Br 0.703 0.387 0.772
Br 0.297 0.387 0.228

Properties
total magnetic moment = 0.00 μB per formula unit
polymorph energy (0 for the lowest one) = 0 meV per atom
uncorrected energy = -2.79 eV/atom
formation energy (no corrections) = -0.0615 eV/atom